Computed, not measured: a crystal of Ca2LaZr relaxed with PBEsol at the meta-GGA SCAN level of DFT.

Space group: Cmmm (65)

a b c (Å): 6.368 6.368 3.368
angles (deg): 90.00 90.00 115.59
Sites, in units of the cell vectors:
Ca  0.000  0.500  0.000
Ca  0.500  0.000  0.000
La  0.000  0.000  0.500
Zr  0.500  0.500  0.500



Computed, not measured: a crystal of Li5Ca relaxed with PBEsol at the meta-GGA SCAN level of DFT.

Space group: C2/m (12)

a b c (Å): 6.019 6.019 7.025
angles (deg): 106.64 106.64 36.04
Sites, in units of the cell vectors:
Li  0.000  0.000  0.000
Li  0.314  0.314  0.687
Li  0.330  0.330  0.130
Li  0.670  0.670  0.870
Li  0.686  0.686  0.313
Ca  0.000  0.000  0.500



Computed, not measured: a crystal of LiCa2 relaxed with PBEsol at the meta-GGA SCAN level of DFT.

Space group: C2/m (12)

a b c (Å): 6.662 6.662 8.893
angles (deg): 110.43 110.43 33.76
Sites, in units of the cell vectors:
Li  0.188  0.188  0.062
Li  0.812  0.812  0.938
Ca  0.165  0.165  0.607
Ca  0.483  0.483  0.786
Ca  0.517  0.517  0.214
Ca  0.835  0.835  0.393



Listing DFT total energy for the structures above in their given order: -22.895 -3.580 -7.228 eV per atom.
Listing DOS at the Fermi energy for the structures above in their given order: 5.40 3.10 4.64 states/eV/cell.
Listing excess energy over the best structure of this formula in the dataset for the structures above in their given order: 188 0 9 meV/atom.